Material: HfAlI2O
Method: DFT, PBE
State: optimized geometry

Properties
Raw total energy   -4.7989 eV per atom
D(E_F)   1.00 states/eV/atom
Space group   P4/mmm
Formation energy (no corrections)   -0.448 eV/atom
Offset from the most stable computed form   0.449 eV per atom

Cell lengths 5.7491, 5.7491, 3.4582 Å; angles 90.00, 90.00, 90.00 degrees
Closest atoms and distances in Å follow each position.
Fractional positions:
Hf  0.0000  0.0000  0.0000  8 I 3.35, 2 Hf 3.46
Al  0.5000  0.5000  0.5000  2 O 1.73
I  0.0000  0.5000  0.5000  2 Al 2.87
I  0.5000  0.0000  0.5000  2 Al 2.87
O  0.5000  0.5000  0.0000  2 Al 1.73



Material: HfAlPI2
Method: DFT, PBE
State: optimized geometry

Properties
Raw total energy   -3.7813 eV per atom
D(E_F)   1.07 states/eV/atom
Space group   P4/mmm
Formation energy (no corrections)   0.660 eV/atom

Cell lengths 5.7462, 5.7462, 4.9344 Å; angles 90.00, 90.00, 90.00 degrees
Closest atoms and distances in Å follow each position.
Fractional positions:
Hf  0.0000  0.0000  0.0000  2 P 2.47
Al  0.5000  0.5000  0.0000  8 I 3.79, 4 Hf 4.06
P  0.0000  0.0000  0.5000  2 Hf 2.47
I  0.0000  0.5000  0.5000  2 P 2.87
I  0.5000  0.0000  0.5000  2 P 2.87



Material: Rb2HfAlI6
Method: DFT, PBE
State: optimized geometry

Properties
Raw total energy   -3.3367 eV per atom
D(E_F)   0.55 states/eV/atom
Space group   Fm-3m
Formation energy (no corrections)   -0.844 eV/atom

Cell lengths 8.5671, 8.5671, 8.5671 Å; angles 60.00, 60.00, 60.00 degrees
Closest atoms and distances in Å follow each position.
Fractional positions:
Rb  0.2500  0.2500  0.2500  12 I 4.29
Rb  0.7500  0.7500  0.7500  12 I 4.29
Hf  0.0000  0.0000  0.0000  6 I 2.90
Al  0.5000  0.5000  0.5000  6 I 3.16
I  0.2393  0.2393  0.7607  1 Hf 2.90, 1 Al 3.16
I  0.2393  0.7607  0.2393  1 Hf 2.90, 1 Al 3.16
I  0.2393  0.7607  0.7607  1 Hf 2.90, 1 Al 3.16
I  0.7607  0.2393  0.2393  1 Hf 2.90, 1 Al 3.16
I  0.7607  0.2393  0.7607  1 Hf 2.90, 1 Al 3.16
I  0.7607  0.7607  0.2393  1 Hf 2.90, 1 Al 3.16



Material: HfAlSb2I
Method: DFT, PBE
State: optimized geometry

Properties
Raw total energy   -4.4111 eV per atom
D(E_F)   0.73 states/eV/atom
Space group   P4/mmm
Formation energy (no corrections)   0.287 eV/atom
Offset from the most stable computed form   0.000 eV per atom

Cell lengths 5.5148, 5.5148, 5.8523 Å; angles 90.00, 90.00, 90.00 degrees
Closest atoms and distances in Å follow each position.
Fractional positions:
Hf  0.0000  0.0000  0.0000  4 Sb 2.76, 2 I 2.93
Al  0.5000  0.5000  0.5000  4 I 3.90, 8 Sb 4.02
Sb  0.0000  0.5000  0.0000  2 Hf 2.76
Sb  0.5000  0.0000  0.0000  2 Hf 2.76
I  0.0000  0.0000  0.5000  2 Hf 2.93



Material: HfAlSbI2
Method: DFT, PBE
State: optimized geometry

Properties
Raw total energy   -4.0475 eV per atom
D(E_F)   0.59 states/eV/atom
Space group   P4/mmm
Formation energy (no corrections)   0.136 eV/atom
Offset from the most stable computed form   0.000 eV per atom

Cell lengths 5.6912, 5.6912, 5.6432 Å; angles 90.00, 90.00, 90.00 degrees
Closest atoms and distances in Å follow each position.
Fractional positions:
Hf  0.0000  0.0000  0.0000  2 Sb 2.82, 4 I 2.85
Al  0.5000  0.5000  0.5000  8 I 4.01, 4 Sb 4.02
Sb  0.0000  0.0000  0.5000  2 Hf 2.82
I  0.0000  0.5000  0.0000  2 Hf 2.85
I  0.5000  0.0000  0.0000  2 Hf 2.85



Material: HfAlSbI2
Method: DFT, PBE
State: optimized geometry

Properties
Raw total energy   -3.5570 eV per atom
D(E_F)   0.70 states/eV/atom
Space group   P4/mmm
Formation energy (no corrections)   0.627 eV/atom
Offset from the most stable computed form   0.491 eV per atom

Cell lengths 5.3117, 5.3117, 5.4761 Å; angles 90.00, 90.00, 90.00 degrees
Closest atoms and distances in Å follow each position.
Fractional positions:
Hf  0.0000  0.0000  0.0000  4 Sb 3.76, 8 I 3.81
Al  0.5000  0.5000  0.5000  4 I 2.66, 2 Sb 2.74
Sb  0.5000  0.5000  0.0000  2 Al 2.74
I  0.0000  0.5000  0.5000  2 Al 2.66
I  0.5000  0.0000  0.5000  2 Al 2.66



Material: HfAlSb2I
Method: DFT, PBE
State: optimized geometry

Properties
Raw total energy   -3.9983 eV per atom
D(E_F)   1.03 states/eV/atom
Space group   P4/mmm
Formation energy (no corrections)   0.700 eV/atom
Offset from the most stable computed form   0.413 eV per atom

Cell lengths 5.2411, 5.2411, 5.3046 Å; angles 90.00, 90.00, 90.00 degrees
Closest atoms and distances in Å follow each position.
Fractional positions:
Hf  0.0000  0.0000  0.0000  4 I 3.71, 8 Sb 3.73
Al  0.5000  0.5000  0.5000  4 Sb 2.62, 2 I 2.65
Sb  0.0000  0.5000  0.5000  2 Al 2.62
Sb  0.5000  0.0000  0.5000  2 Al 2.62
I  0.5000  0.5000  0.0000  2 Al 2.65



Material: HfAlTeI2
Method: DFT, PBE
State: optimized geometry

Properties
Raw total energy   -3.4789 eV per atom
D(E_F)   1.05 states/eV/atom
Space group   P4/mmm
Formation energy (no corrections)   0.509 eV/atom
Offset from the most stable computed form   0.579 eV per atom

Cell lengths 5.3449, 5.3449, 5.4620 Å; angles 90.00, 90.00, 90.00 degrees
Closest atoms and distances in Å follow each position.
Fractional positions:
Hf  0.0000  0.0000  0.0000  4 Te 3.78, 8 I 3.82
Al  0.5000  0.5000  0.5000  4 I 2.67, 2 Te 2.73
Te  0.5000  0.5000  0.0000  2 Al 2.73
I  0.0000  0.5000  0.5000  2 Al 2.67
I  0.5000  0.0000  0.5000  2 Al 2.67